## SrHgBAs2 (GGA-PBE)

Data for an optimized crystal structure of SrHgBAs2.

Unit cell a=5.7292 b=6.1078 c=5.7292 alpha=90.00 beta=90.00 gamma=90.00
Sites, in units of the cell vectors:
As: 0.5000 0.0000 0.0000
As: 0.0000 0.0000 0.5000
Hg: 0.0000 0.5000 0.0000
Sr: 0.0000 0.0000 0.0000
B: 0.5000 0.5000 0.5000

Results
For the formation enthalpy at 0 K, the calculation gives 1574 meV/atom.